! PBE-GGA Ta2Fe2Co, optimized geometry; values from VASP
&SYSTEM
  ibrav = 0, nat = 10, ntyp = 3
/
ATOMIC_SPECIES
Co 58.93 Co.upf
Fe 55.84 Fe.upf
Ta 180.95 Ta.upf
CELL_PARAMETERS angstrom
-0.588 0.937 -6.000
-6.060 0.303 0.642
0.240 3.646 0.546
ATOMIC_POSITIONS angstrom
Co -3.324 0.620 -2.679
Co 0.000 0.000 0.000
Fe -4.305 1.008 -4.846
Fe -2.344 0.231 -0.512
Fe -5.520 0.616 -1.686
Fe -1.128 0.624 -3.673
Ta -1.186 2.174 -1.499
Ta -5.222 2.711 -3.315
Ta -2.269 2.682 -4.415
Ta -4.140 2.204 -0.398
! Final energy: -9.53 eV/atom
! ΔE to the lowest computed polymorph: 21 meV per atom
! E_form: 0.013 eV per atom
! DOS(E_F): 5.50 states/eV/f.u.